Record 1
30
Lattice="-8.3038 -1.1757 5.4426 4.6963 -6.7291 5.7115 1.5541 3.7926 3.1904" Properties=species:S:1:pos:R:3 comment="Ta2Re (PBE, optimized geometry)" delta_e_f_ev_per_atom=-0.0439 sg=P4_2/mnm pbc="T T T"
Ta -1.7259 -0.2803 5.4019
Ta -3.2484 -1.4289 3.2810
Re -1.7659 -3.5810 11.4181
Ta -5.5060 -1.7213 8.9563
Re -2.5280 -5.4405 9.8538
Re 0.4745 1.3283 4.4908
Ta -2.1692 -4.7530 6.7068
Re 1.8325 -2.1418 8.0363
Ta -0.3591 -6.4759 7.8731
Ta -0.3276 -3.8319 8.9426
Ta 2.3128 -6.6288 6.7534
Ta 3.4526 -2.3909 5.3883
Re 0.0000 0.0000 0.0000
Ta -6.6215 -2.8123 6.5685
Re -3.0938 -0.0374 7.9344
Ta -2.8541 -2.7526 8.8904
Ta 2.2467 -5.0331 9.1167
Re -1.0267 -2.0561 7.1723
Ta -5.9204 -1.2760 4.4008
Ta -4.7045 -4.6196 7.7832
Re 1.0404 -4.0748 6.4102
Ta -4.3002 0.9209 5.2279
Re -3.8859 -1.9704 6.3083
Ta 1.0970 -3.2852 3.3709
Ta 3.0140 -5.0926 4.5856
Ta 0.8007 -1.3596 5.4542
Ta 4.1567 -4.2703 7.2795
Ta -1.4384 -3.1518 4.4474
Ta -6.2101 0.1581 7.0650
Re -0.2875 -0.5312 2.9265

***

Record 2
29
Lattice="-4.9879 4.9879 4.9879 4.9879 -4.9879 4.9879 4.9879 4.9879 -4.9879" Properties=species:S:1:pos:R:3 comment="Ta17Re12 (PBE, optimized geometry)" delta_e_f_ev_per_atom=-0.0111 de_polymorph_mev_per_atom=186.6 sg=I-43m pbc="T T T"
Ta -0.9493 2.9186 0.9493
Ta 2.9186 -0.9493 0.9493
Ta 2.9186 0.9493 -0.9493
Ta 0.9493 -0.9493 2.9186
Ta -3.1233 3.1233 3.1233
Re -0.4420 3.5873 3.5873
Ta 3.1233 -3.1233 3.1233
Ta 3.1233 3.1233 -3.1233
Ta 4.0386 2.0693 4.0386
Ta -0.9493 0.9493 2.9186
Re -1.4006 1.4006 5.4299
Re 1.4006 4.5459 1.4006
Re -1.4006 5.4299 1.4006
Ta 0.9493 7.0572 0.9493
Re 1.4006 -1.4006 5.4299
Re 4.5459 1.4006 1.4006
Ta 1.8646 1.8646 1.8646
Re 1.4006 1.4006 4.5459
Ta 0.9493 2.9186 -0.9493
Re 1.4006 5.4299 -1.4006
Re 5.4299 -1.4006 1.4006
Re 3.5873 -0.4420 3.5873
Ta 4.0386 4.0386 2.0693
Ta 0.0000 0.0000 0.0000
Re 5.4299 1.4006 -1.4006
Ta 0.9493 0.9493 7.0572
Ta 2.0693 4.0386 4.0386
Re 3.5873 3.5873 -0.4420
Ta 7.0572 0.9493 0.9493

***

no.,volume (Å³ per cell)
1,519.2
2,496.4